(1)
PBE AcLaSeS2, relaxed; space-group type = P4mm; energy = -6.098 eV/atom; formation energy without anion corrections = -1942 meV/atom
1.0
4.8950 0.0000 0.0000
0.0000 4.8950 0.0000
0.0000 0.0000 7.1788
Ac La Se S
1 1 1 2
direct
0.0000 0.0000 0.0000
0.5000 0.5000 0.4093
0.5000 0.5000 0.8158
0.0000 0.5000 0.2307
0.5000 0.0000 0.2307

---

(2)
PBE Ac2LaSe2S2, relaxed; space-group type = I4/mmm; energy = -5.768 eV/atom; formation energy without anion corrections = -1716 meV/atom
1.0
-2.6771 2.6771 7.8734
2.6771 -2.6771 7.8734
2.6771 2.6771 -7.8734
Ac La Se S
2 1 2 2
direct
0.1246 0.1246 0.0000
0.8754 0.8754 0.0000
0.5000 0.5000 0.0000
0.3135 0.3135 0.0000
0.6865 0.6865 0.0000
0.0000 0.5000 0.5000
0.5000 0.0000 0.5000